CsCe2AuS5: relaxed, PBE.

Geometry as POSCAR:
```
CsCe2AuS5
1.0
-3.922 3.922 7.324
3.922 -3.922 7.324
3.922 3.922 -7.324
Cs Ce Au S
2 4 2 10
Direct
0.250 0.250 0.000
0.750 0.750 0.000
0.166 0.666 0.832
0.334 0.166 0.500
0.666 0.834 0.500
0.834 0.334 0.168
0.250 0.750 0.500
0.750 0.250 0.500
0.000 0.000 0.000
0.025 0.244 0.500
0.244 0.744 0.218
0.256 0.475 0.500
0.475 0.975 0.218
0.500 0.500 0.000
0.525 0.025 0.782
0.744 0.525 0.500
0.756 0.256 0.782
0.975 0.756 0.500
```

SG: I4/mcm, No. 140
Final energy: -5.45 eV per atom
Energy relative to the elements, uncorrected: -1.376 eV/atom

Cr2ReP6: relaxed, PBE.

Geometry as POSCAR:
```
Cr2ReP6
1.0
5.718 0.000 0.000
0.000 5.718 0.000
0.000 0.000 8.989
Cr Re P
4 2 12
Direct
0.000 0.000 0.168
0.000 0.000 0.832
0.500 0.500 0.332
0.500 0.500 0.668
0.000 0.000 0.500
0.500 0.500 0.000
0.207 0.207 0.000
0.218 0.218 0.326
0.218 0.218 0.674
0.282 0.718 0.174
0.282 0.718 0.826
0.293 0.707 0.500
0.707 0.293 0.500
0.718 0.282 0.174
0.718 0.282 0.826
0.782 0.782 0.326
0.782 0.782 0.674
0.793 0.793 0.000
```

SG: P4_2/mnm, No. 136
Final energy: -7.26 eV per atom
Calculated formation energy: -0.134 eV/atom

HoTiZnAu: relaxed, PBE.

Geometry as POSCAR:
```
HoTiZnAu
1.0
0.000 3.412 3.412
3.412 0.000 3.412
3.412 3.412 0.000
Ho Ti Zn Au
1 1 1 1
Direct
0.000 0.000 0.000
0.500 0.500 0.500
0.250 0.250 0.250
0.750 0.750 0.750
```

SG: F-43m, No. 216
Final energy: -4.59 eV per atom
Calculated formation energy: -0.331 eV/atom

BaAsSe2N: relaxed, PBE.

Geometry as POSCAR:
```
BaAsSe2N
1.0
6.317 0.000 0.000
0.000 6.317 0.000
0.000 0.000 6.368
Ba As Se N
1 1 2 1
Direct
0.000 0.000 0.000
0.000 0.000 0.500
0.000 0.500 0.000
0.500 0.000 0.000
0.500 0.500 0.500
```

SG: P4/mmm, No. 123
Final energy: -2.85 eV per atom
Energy relative to the elements, uncorrected: 1.521 eV/atom

Cs3Ge5Au12: relaxed, PBE.

Geometry as POSCAR:
```
Cs3Ge5Au12
1.0
-8.534 8.534 8.534
8.534 -8.534 8.534
8.534 8.534 -8.534
Cs Ge Au
12 20 48
Direct
0.125 0.250 0.375
0.125 0.375 0.750
0.250 0.375 0.125
0.250 0.875 0.625
0.375 0.125 0.250
0.375 0.750 0.125
0.625 0.250 0.875
0.625 0.875 0.750
0.750 0.125 0.375
0.750 0.625 0.875
0.875 0.625 0.250
0.875 0.750 0.625
0.000 0.000 0.000
0.000 0.000 0.500
0.000 0.500 0.000
0.000 0.500 0.500
0.125 0.750 0.875
0.125 0.875 0.250
0.250 0.125 0.875
0.250 0.625 0.375
0.375 0.250 0.625
0.375 0.625 0.750
0.500 0.000 0.000
0.500 0.000 0.500
0.500 0.500 0.000
0.500 0.500 0.500
0.625 0.375 0.250
0.625 0.750 0.375
0.750 0.375 0.625
0.750 0.875 0.125
0.875 0.125 0.750
0.875 0.250 0.125
0.019 0.572 0.865
0.019 0.948 0.155
0.052 0.707 0.072
0.052 0.845 0.981
0.072 0.052 0.707
0.072 0.519 0.365
0.135 0.655 0.707
0.135 0.981 0.428
0.155 0.019 0.948
0.155 0.635 0.207
0.207 0.155 0.635
0.207 0.552 0.572
0.293 0.865 0.345
0.293 0.928 0.948
0.345 0.293 0.865
0.345 0.552 0.481
0.365 0.072 0.519
0.365 0.793 0.845
0.428 0.135 0.981
0.428 0.793 0.448
0.448 0.428 0.793
0.448 0.519 0.655
0.481 0.345 0.552
0.481 0.635 0.928
0.519 0.365 0.072
0.519 0.655 0.448
0.552 0.481 0.345
0.552 0.572 0.207
0.572 0.207 0.552
0.572 0.865 0.019
0.635 0.207 0.155
0.635 0.928 0.481
0.655 0.448 0.519
0.655 0.707 0.135
0.707 0.072 0.052
0.707 0.135 0.655
0.793 0.448 0.428
0.793 0.845 0.365
0.845 0.365 0.793
0.845 0.981 0.052
0.865 0.019 0.572
0.865 0.345 0.293
0.928 0.481 0.635
0.928 0.948 0.293
0.948 0.155 0.019
0.948 0.293 0.928
0.981 0.052 0.845
0.981 0.428 0.135
```

SG: Ia-3d, No. 230
Final energy: -3.33 eV per atom
Calculated formation energy: -0.083 eV/atom

TaCl2: relaxed, PBE.

Geometry as POSCAR:
```
TaCl2
1.0
1.497 -7.848 0.000
1.497 7.848 0.000
0.000 0.000 8.161
Ta Cl
2 4
Direct
0.132 0.868 0.750
0.868 0.132 0.250
0.246 0.754 0.250
0.491 0.509 0.250
0.509 0.491 0.750
0.754 0.246 0.750
```

SG: Cmcm, No. 63
Final energy: -5.39 eV per atom
Energy relative to the elements, uncorrected: -0.208 eV/atom

GdHoLuPa: relaxed, PBE.

Geometry as POSCAR:
```
GdHoLuPa
1.0
0.000 3.911 3.911
3.911 0.000 3.911
3.911 3.911 0.000
Gd Ho Lu Pa
1 1 1 1
Direct
0.000 0.000 0.000
0.500 0.500 0.500
0.250 0.250 0.250
0.750 0.750 0.750
```

SG: F-43m, No. 216
Final energy: -7.84 eV per atom
Calculated formation energy: 0.331 eV/atom

AlPb3Se4: relaxed, PBE.

Geometry as POSCAR:
```
AlPb3Se4
1.0
8.991 0.000 0.000
0.000 9.124 0.000
0.000 0.000 6.146
Al Pb Se
2 6 8
Direct
0.000 0.212 0.000
0.500 0.788 0.500
0.000 0.901 0.422
0.193 0.658 0.928
0.307 0.342 0.428
0.500 0.099 0.922
0.693 0.342 0.428
0.807 0.658 0.928
0.000 0.228 0.396
0.000 0.954 0.911
0.240 0.326 0.910
0.260 0.674 0.410
0.500 0.046 0.411
0.500 0.772 0.896
0.740 0.674 0.410
0.760 0.326 0.910
```

SG: Pmn2_1, No. 31
Final energy: -4.11 eV per atom
Energy relative to the elements, uncorrected: -0.513 eV/atom

KPRh2: relaxed, PBE.

Geometry as POSCAR:
```
KPRh2
1.0
2.973 -4.467 0.000
2.973 4.467 0.000
-1.297 0.000 2.500
K P Rh
1 1 2
Direct
0.000 0.000 0.000
0.500 0.500 0.000
0.000 0.500 0.000
0.500 0.000 0.000
```

SG: C2/m, No. 12
Final energy: -4.73 eV per atom
Calculated formation energy: 0.577 eV/atom

LiAu2Se: relaxed, PBE.

Geometry as POSCAR:
```
LiAu2Se
1.0
1.910 -2.002 0.000
1.910 2.002 0.000
0.000 0.000 9.750
Li Au Se
1 2 1
Direct
0.000 0.000 0.000
0.500 0.500 0.199
0.500 0.500 0.801
0.000 0.000 0.500
```

SG: Cmmm, No. 65
Final energy: -3.15 eV per atom
Energy relative to the elements, uncorrected: -0.162 eV/atom

AcPm2In9: relaxed, PBE.

Geometry as POSCAR:
```
AcPm2In9
1.0
4.776 0.000 0.000
0.000 4.776 0.000
0.000 0.000 14.328
Ac Pm In
1 2 9
Direct
0.000 0.000 0.000
0.000 0.000 0.340
0.000 0.000 0.660
0.000 0.500 0.176
0.000 0.500 0.500
0.000 0.500 0.824
0.500 0.000 0.176
0.500 0.000 0.500
0.500 0.000 0.824
0.500 0.500 0.000
0.500 0.500 0.336
0.500 0.500 0.664
```

SG: P4/mmm, No. 123
Final energy: -3.63 eV per atom
Calculated formation energy: -0.439 eV/atom

Ba2Sb2Br: relaxed, PBE.

Geometry as POSCAR:
```
Ba2Sb2Br
1.0
9.068 0.000 0.000
0.000 9.068 0.000
0.000 0.000 4.971
Ba Sb Br
4 4 2
Direct
0.182 0.318 0.000
0.318 0.818 0.000
0.682 0.182 0.000
0.818 0.682 0.000
0.108 0.608 0.500
0.392 0.108 0.500
0.608 0.892 0.500
0.892 0.392 0.500
0.000 0.000 0.000
0.500 0.500 0.000
```

SG: P4/mbm, No. 127
Final energy: -3.93 eV per atom
Energy relative to the elements, uncorrected: -1.175 eV/atom

SrBeTcO5: relaxed, PBE.

Geometry as POSCAR:
```
SrBeTcO5
1.0
3.331 -4.401 0.000
3.331 4.401 0.000
-3.034 0.000 6.640
Sr Be Tc O
2 2 2 10
Direct
0.165 0.835 0.750
0.835 0.165 0.250
0.190 0.810 0.250
0.810 0.190 0.750
0.500 0.500 0.000
0.500 0.500 0.500
0.130 0.269 0.901
0.205 0.616 0.391
0.269 0.130 0.401
0.384 0.795 0.109
0.443 0.557 0.750
0.557 0.443 0.250
0.616 0.205 0.891
0.731 0.870 0.599
0.795 0.384 0.609
0.870 0.731 0.099
```

SG: C2/c, No. 15
Final energy: -7.14 eV per atom
Energy relative to the elements, uncorrected: -2.074 eV/atom

La3Cd4In2: relaxed, PBE.

Geometry as POSCAR:
```
La3Cd4In2
1.0
5.761 -2.538 0.000
5.761 2.538 0.000
-4.333 0.000 8.558
La Cd In
3 4 2
Direct
0.000 0.000 0.000
0.334 0.334 0.330
0.666 0.666 0.670
0.075 0.075 0.411
0.295 0.295 0.964
0.705 0.705 0.036
0.925 0.925 0.589
0.390 0.390 0.723
0.610 0.610 0.277
```

SG: C2/m, No. 12
Final energy: -3.10 eV per atom
Calculated formation energy: -0.443 eV/atom

CaSiHW2: relaxed, PBE.

Geometry as POSCAR:
```
CaSiHW2
1.0
3.953 0.000 0.000
0.000 3.953 0.000
0.000 0.000 4.749
Ca Si H W
1 1 1 2
Direct
0.000 0.000 0.000
0.500 0.500 0.000
0.500 0.500 0.500
0.000 0.500 0.500
0.500 0.000 0.500
```

SG: P4/mmm, No. 123
Final energy: -6.77 eV per atom

Ba2DySb3Pt4: relaxed, PBE.

Geometry as POSCAR:
```
Ba2DySb3Pt4
1.0
4.747 0.000 0.000
0.000 4.747 0.000
0.000 0.000 11.226
Ba Dy Sb Pt
2 1 3 4
Direct
0.000 0.500 0.232
0.500 0.000 0.768
0.000 0.000 0.500
0.000 0.500 0.879
0.500 0.000 0.121
0.500 0.500 0.500
0.000 0.000 0.000
0.000 0.500 0.638
0.500 0.000 0.362
0.500 0.500 0.000
```

SG: P-4m2, No. 115
Final energy: -5.39 eV per atom
Energy relative to the elements, uncorrected: -0.896 eV/atom

Rh2WAu: relaxed, PBE.

Geometry as POSCAR:
```
Rh2WAu
1.0
4.812 0.000 0.000
0.000 2.802 0.000
-1.807 0.000 4.577
Rh W Au
2 1 1
Direct
0.000 0.000 0.000
0.000 0.500 0.500
0.500 0.000 0.500
0.500 0.500 0.000
```

SG: P2/m, No. 10
Final energy: -7.59 eV per atom
Calculated formation energy: 0.145 eV/atom

LaDyIrCl: relaxed, PBE.

Geometry as POSCAR:
```
LaDyIrCl
1.0
3.536 -2.042 0.000
3.536 2.042 0.000
-2.364 0.000 7.650
La Dy Ir Cl
1 1 1 1
Direct
0.000 0.000 0.000
0.201 0.201 0.605
0.598 0.598 0.795
0.774 0.774 0.320
```

SG: Cm, No. 8
Final energy: -6.30 eV per atom
Energy relative to the elements, uncorrected: -1.240 eV/atom

Np2AsH: relaxed, PBE.

Geometry as POSCAR:
```
Np2AsH
1.0
1.498 0.865 8.404
-1.498 0.865 8.404
0.000 -1.729 8.404
Np As H
2 1 1
Direct
0.233 0.233 0.233
0.767 0.767 0.767
0.000 0.000 0.000
0.500 0.500 0.500
```

SG: R-3m, No. 166
Final energy: -8.46 eV per atom

Total magnetization per entry: 0.3 0.0 1.4 4.9 0.0 0.2 10.7 0.0 0.0 0.0 0.0 0.9 1.0 0.0 0.0 0.0 0.0 0.0 6.9 μB/f.u.